Entry 1:
Zn2CoRe | GGA-PBE | relaxed

Unit cell a=5.1139 b=5.1139 c=5.1139 alpha=148.97 beta=128.68 gamma=61.19
With the nearest neighbours (Å) after each atom.
Positions (direct):
Zn: 0.9841 0.9841 0.0000  2 Co 2.47, 6 Zn 2.62-2.74, 2 Re 2.71
Co: 0.7500 0.2500 0.5000  4 Zn 2.47, 4 Re 2.60, 2 Co 2.74
Zn: 0.5159 0.5159 0.0000  2 Co 2.47, 6 Zn 2.62-2.74, 2 Re 2.71
Re: 0.2500 0.7500 0.5000  4 Co 2.60, 4 Zn 2.71, 2 Re 2.74

DFT formation energy   0.191 eV/atom
Polymorph energy (0 for the lowest one)   0.174 eV/atom
Crystal system   orthorhombic

Entry 2:
BeCoSiPd | GGA-PBE | relaxed

Unit cell a=3.9941 b=3.9941 c=3.9941 alpha=60.00 beta=60.00 gamma=60.00
With the nearest neighbours (Å) after each atom.
Positions (direct):
Si: 0.0000 0.0000 0.0000  4 Co 2.45, 4 Pd 2.45
Pd: 0.7500 0.7500 0.7500  4 Be 2.45, 4 Si 2.45
Be: 0.5000 0.5000 0.5000  4 Co 2.45, 4 Pd 2.45
Co: 0.2500 0.2500 0.2500  4 Be 2.45, 4 Si 2.45

Crystal system   cubic

Entry 3:
AlCdTe2 | GGA-PBE | relaxed

Unit cell a=6.4889 b=6.4889 c=8.2573 alpha=66.86 beta=66.86 gamma=90.00
With the nearest neighbours (Å) after each atom.
Positions (direct):
Al: 0.5000 0.5000 0.0000  4 Te 2.79
Al: 0.2500 0.7500 0.5000  4 Te 2.79
Te: 0.8750 0.8538 0.7500  2 Al 2.79, 2 Cd 2.95
Cd: 0.0000 0.0000 0.0000  4 Te 2.95
Te: 0.1462 0.6250 0.2500  2 Al 2.79, 2 Cd 2.95
Te: 0.6038 0.1250 0.2500  2 Al 2.79, 2 Cd 2.95
Te: 0.3750 0.3962 0.7500  2 Al 2.79, 2 Cd 2.95
Cd: 0.7500 0.2500 0.5000  4 Te 2.95

Polymorph energy (0 for the lowest one)   0.100 eV/atom
Crystal system   tetragonal

Entry 4:
PuMg3Ga4 | GGA-PBE | relaxed

Unit cell a=4.7673 b=7.0244 c=9.5367 alpha=90.00 beta=90.00 gamma=90.00
With the nearest neighbours (Å) after each atom.
Positions (direct):
Mg: 0.0000 0.0000 0.0000  8 Ga 2.90
Ga: 0.9996 0.7652 0.7500  6 Mg 2.90-3.03, 2 Pu 3.03
Ga: 0.5000 0.2347 0.0000  6 Mg 2.90-3.03, 2 Pu 3.03
Ga: 0.9996 0.2348 0.7500  6 Mg 2.90-3.03, 2 Pu 3.03
Ga: 0.5000 0.7653 0.0000  6 Mg 2.90-3.03, 2 Pu 3.03
Ga: 0.0004 0.2348 0.2500  6 Mg 2.90-3.03, 2 Pu 3.03
Mg: 0.5006 0.0000 0.2500  8 Ga 2.90
Pu: 0.0000 0.5000 0.5000  8 Ga 3.03, 4 Mg 3.37
Ga: 0.5000 0.2347 0.5000  6 Mg 2.90-3.03, 2 Pu 3.03
Mg: 0.5000 0.5000 0.2500  8 Ga 3.02-3.03, 4 Pu 3.37
Ga: 0.0004 0.7652 0.2500  6 Mg 2.90-3.03, 2 Pu 3.03
Mg: 0.5000 0.5000 0.7500  8 Ga 3.02-3.03, 4 Pu 3.37
Pu: 0.0000 0.5000 0.0000  8 Ga 3.03, 4 Mg 3.37
Mg: 0.0000 0.0000 0.5000  8 Ga 2.90
Mg: 0.4994 0.0000 0.7500  8 Ga 2.90
Ga: 0.5000 0.7653 0.5000  6 Mg 2.90-3.03, 2 Pu 3.03

DFT formation energy   -0.230 eV/atom
Crystal system   tetragonal

Number 1: VASP energy -5.334 eV per atom. Number 2: VASP energy -5.792 eV per atom. Number 3: VASP energy -2.935 eV per atom. Number 4: VASP energy -4.133 eV per atom.